[1]
The following is a PBE-GGA calculation of a relaxed NaCaSn crystal, from the Alexandria database.

Values from the calculation:
VASP energy = -8.48 eV per formula unit
SG = No. 194
DFT formation energy = -0.38 eV/atom
DOS(E_F) = 1.86 states/eV/f.u.

The structure in POSCAR format:
```
NaCaSn
1.0
-0.324 -5.043 2.352
3.268 0.799 -4.444
5.022 1.529 3.968
Na Ca Sn
2 2 2
Direct
0.000 0.500 0.500 Na
0.000 0.500 0.000 Na
0.333 0.167 0.750 Ca
0.667 0.833 0.250 Ca
0.333 0.167 0.250 Sn
0.667 0.833 0.750 Sn
```

=====

[2]
The following is a PBE-GGA calculation of a relaxed CaAc2Re2N6 crystal, from the Alexandria database.

Values from the calculation:
ΔE_f (raw) = -722 meV per atom
VASP energy = -93.01 eV per formula unit
SG = No. 166
DOS(E_F) = 0.11 states/eV/f.u.

The structure in POSCAR format:
```
CaAc2Re2N6
1.0
-5.917 -0.238 0.047
-2.749 -5.184 0.804
-2.878 -0.852 6.474
N Ac Re Ca
6 2 2 1
Direct
0.739 0.233 0.290 N
0.767 0.261 0.710 N
0.233 0.739 0.290 N
0.739 0.739 0.290 N
0.261 0.261 0.710 N
0.261 0.767 0.710 N
0.210 0.210 0.369 Ac
0.790 0.790 0.631 Ac
0.403 0.403 0.790 Re
0.597 0.597 0.210 Re
0.000 0.000 0.000 Ca
```